## CsNbO2F (GGA-PBE)

Data for CsNbO2F after structural relaxation.

```
CsNbO2F
1.0
-1.631 3.757 0.317
-2.237 -1.242 3.213
3.392 1.233 2.839
Cs F Nb O
1 1 1 2
Direct
0.500 0.500 0.500
0.000 0.000 0.500
0.000 0.000 0.000
0.500 0.000 0.000
0.000 0.500 0.000
```

Calculated values
Energy relative to the elements, uncorrected: -2302 meV per atom
E_tot: -6.844 eV per atom
Space group: P4/mmm, No. 123